# 1
Computed, not measured: a relaxed AcGdCdRu crystal at the PBE level of DFT.

a b c (Å): 5.2862 5.2862 5.2862
angles (deg): 60.00 60.00 60.00
Each line ends with the local moment (μB).
Fractional positions:
Ac 0.0000 0.0000 0.0000  0.01
Gd 0.5000 0.5000 0.5000  7.02
Cd 0.2500 0.2500 0.2500  0.00
Ru 0.7500 0.7500 0.7500  -0.17

Values from the calculation:
space-group type = F-43m (216)
DFT total energy = -28.8 eV for the cell shown

---

# 2
Computed, not measured: a relaxed AcGdCdSb crystal at the PBE level of DFT.

a b c (Å): 5.5785 5.5785 5.5785
angles (deg): 60.00 60.00 60.00
Each line ends with the local moment (μB).
Fractional positions:
Ac 0.0000 0.0000 0.0000  0.08
Cd 0.7500 0.7500 0.7500  0.00
Sb 0.2500 0.2500 0.2500  -0.02
Gd 0.5000 0.5000 0.5000  7.15

Values from the calculation:
space-group type = F-43m (216)
DFT total energy = -25.4 eV for the cell shown

---

# 3
Computed, not measured: a relaxed AcGdScCd crystal at the PBE level of DFT.

a b c (Å): 5.5740 5.5740 5.5740
angles (deg): 60.00 60.00 60.00
Each line ends with the local moment (μB).
Fractional positions:
Gd 0.5000 0.5000 0.5000  -7.24
Cd 0.7500 0.7500 0.7500  0.01
Ac 0.0000 0.0000 0.0000  -0.04
Sc 0.2500 0.2500 0.2500  -0.21

Values from the calculation:
space-group type = F-43m (216)
DFT total energy = -25.5 eV for the cell shown

---

Please write out number 1 again, unchanged.
Computed, not measured: a relaxed AcGdCdRu crystal at the PBE level of DFT.

a b c (Å): 5.2862 5.2862 5.2862
angles (deg): 60.00 60.00 60.00
Each line ends with the local moment (μB).
Fractional positions:
Ac 0.0000 0.0000 0.0000  0.01
Gd 0.5000 0.5000 0.5000  7.02
Cd 0.2500 0.2500 0.2500  0.00
Ru 0.7500 0.7500 0.7500  -0.17

Values from the calculation:
space-group type = F-43m (216)
DFT total energy = -28.8 eV for the cell shown

---

The lowest DFT total energy belongs to which entry?
AcGdCdRu

---

The highest DFT total energy belongs to which entry?
AcGdCdSb

---

The lowest DFT total energy belongs to which entry?
AcGdCdRu